This record from the Open Quantum Materials Database describes a geometry-optimized Mg4Tc3 structure. The functional is PBE-GGA.

a b c (Å): 7.7585 7.7585 4.4715
angles (deg): 90.00 90.00 116.50
Element x y z (fractional)
Mg (0.1231, 0.8769, 0.7500)
Mg (0.1463, 0.2900, 0.7500)
Mg (0.2900, 0.1463, 0.2500)
Mg (0.3249, 0.6751, 0.7500)
Mg (0.6751, 0.3249, 0.2500)
Mg (0.7100, 0.8537, 0.7500)
Mg (0.8537, 0.7100, 0.2500)
Mg (0.8769, 0.1231, 0.2500)
Tc (0.1009, 0.5301, 0.2500)
Tc (0.4410, 0.5590, 0.2500)
Tc (0.4699, 0.8991, 0.2500)
Tc (0.5301, 0.1009, 0.7500)
Tc (0.5590, 0.4410, 0.7500)
Tc (0.8991, 0.4699, 0.7500)

Output
Calculated total energy   -5.164 eV/atom
Relative energy among the computed polymorphs   0 meV/atom
Size of the total moment   0.02 μB/cell
Space group   Cmcm

This record from the Open Quantum Materials Database describes a geometry-optimized Mg4Tc3 structure. The functional is PBE-GGA.

a b c (Å): 7.8100 7.8100 4.6740
angles (deg): 90.00 90.00 120.00
Element x y z (fractional)
Mg (0.0854, 0.4546, 0.2500)
Mg (0.3333, 0.6667, 0.7500)
Mg (0.3692, 0.9146, 0.2500)
Mg (0.4546, 0.3692, 0.7500)
Mg (0.5454, 0.6308, 0.2500)
Mg (0.6308, 0.0854, 0.7500)
Mg (0.6667, 0.3333, 0.2500)
Mg (0.9146, 0.5454, 0.7500)
Tc (0.0349, 0.2037, 0.7500)
Tc (0.1688, 0.9651, 0.7500)
Tc (0.2037, 0.1688, 0.2500)
Tc (0.7963, 0.8312, 0.7500)
Tc (0.8312, 0.0349, 0.2500)
Tc (0.9651, 0.7963, 0.2500)

Output
Calculated total energy   -5.098 eV/atom
Relative energy among the computed polymorphs   66 meV/atom
Size of the total moment   1.50 μB/cell
Space group   P6_3/m

This record from the Open Quantum Materials Database describes a geometry-optimized MgTc2Te2 structure. The functional is PBE-GGA.

a b c (Å): 3.3111 3.3111 23.5756
angles (deg): 90.00 90.00 120.00
Element x y z (fractional)
Mg (0.0000, 0.0000, 0.0000)
Mg (0.0000, 0.0000, 0.5000)
Tc (0.3333, 0.6667, 0.0905)
Tc (0.3333, 0.6667, 0.4095)
Tc (0.6667, 0.3333, 0.5905)
Tc (0.6667, 0.3333, 0.9095)
Te (0.3333, 0.6667, 0.6653)
Te (0.3333, 0.6667, 0.8347)
Te (0.6667, 0.3333, 0.1653)
Te (0.6667, 0.3333, 0.3347)

Output
Calculated total energy   -5.497 eV/atom
Size of the total moment   1.05 μB/cell
Space group   P6_3/mmc

This record from the Open Quantum Materials Database describes a geometry-optimized MgTcW2 structure. The functional is PBE-GGA.

a b c (Å): 6.3237 6.3237 6.3237
angles (deg): 90.00 90.00 90.00
Element x y z (fractional)
Mg (0.0000, 0.0000, 0.0000)
Mg (0.0000, 0.5000, 0.5000)
Mg (0.5000, 0.0000, 0.5000)
Mg (0.5000, 0.5000, 0.0000)
Tc (0.2500, 0.2500, 0.7500)
Tc (0.2500, 0.7500, 0.2500)
Tc (0.7500, 0.2500, 0.2500)
Tc (0.7500, 0.7500, 0.7500)
W (0.0000, 0.0000, 0.5000)
W (0.0000, 0.5000, 0.0000)
W (0.2500, 0.2500, 0.2500)
W (0.2500, 0.7500, 0.7500)
W (0.5000, 0.0000, 0.0000)
W (0.5000, 0.5000, 0.5000)
W (0.7500, 0.2500, 0.7500)
W (0.7500, 0.7500, 0.2500)

Output
Calculated total energy   -9.136 eV/atom
Size of the total moment   0.00 μB/cell
Space group   F-43m

This record from the Open Quantum Materials Database describes a geometry-optimized YMg2Tc structure. The functional is PBE-GGA.

a b c (Å): 6.8863 6.8863 6.8863
angles (deg): 90.00 90.00 90.00
Element x y z (fractional)
Y (0.0000, 0.0000, 0.0000)
Y (0.0000, 0.5000, 0.5000)
Y (0.5000, 0.0000, 0.5000)
Y (0.5000, 0.5000, 0.0000)
Mg (0.0000, 0.0000, 0.5000)
Mg (0.0000, 0.5000, 0.0000)
Mg (0.2500, 0.2500, 0.2500)
Mg (0.2500, 0.7500, 0.7500)
Mg (0.5000, 0.0000, 0.0000)
Mg (0.5000, 0.5000, 0.5000)
Mg (0.7500, 0.2500, 0.7500)
Mg (0.7500, 0.7500, 0.2500)
Tc (0.2500, 0.2500, 0.7500)
Tc (0.2500, 0.7500, 0.2500)
Tc (0.7500, 0.2500, 0.2500)
Tc (0.7500, 0.7500, 0.7500)

Output
Calculated total energy   -4.786 eV/atom
Size of the total moment   0.06 μB/cell
Space group   F-43m

This record from the Open Quantum Materials Database describes a geometry-optimized Y2Mg3Tc structure. The functional is PBE-GGA.

a b c (Å): 5.6775 5.6775 9.7240
angles (deg): 90.00 90.00 120.00
Element x y z (fractional)
Y (0.3333, 0.6667, 0.0521)
Y (0.3333, 0.6667, 0.4479)
Y (0.6667, 0.3333, 0.5521)
Y (0.6667, 0.3333, 0.9479)
Mg (0.1627, 0.3254, 0.7500)
Mg (0.1627, 0.8373, 0.7500)
Mg (0.3254, 0.1627, 0.2500)
Mg (0.6746, 0.8373, 0.7500)
Mg (0.8373, 0.1627, 0.2500)
Mg (0.8373, 0.6746, 0.2500)
Tc (0.0000, 0.0000, 0.0000)
Tc (0.0000, 0.0000, 0.5000)

Output
Calculated total energy   -4.629 eV/atom
Size of the total moment   0.01 μB/cell
Space group   P6_3/mmc

This record from the Open Quantum Materials Database describes a geometry-optimized Mg3ZnTc structure. The functional is PBE-GGA.

a b c (Å): 2.9734 5.3151 6.1876
angles (deg): 80.06 76.11 73.85
Element x y z (fractional)
Mg (0.0000, 0.0000, 0.0000)
Mg (0.1601, 0.4302, 0.2412)
Mg (0.3226, 0.8441, 0.5086)
Zn (0.5436, 0.2716, 0.6357)
Tc (0.7798, 0.5743, 0.8604)

Output
Calculated total energy   -3.153 eV/atom
Size of the total moment   0.02 μB/cell
Space group   P1

This record from the Open Quantum Materials Database describes a geometry-optimized MgZrTc structure. The functional is PBE-GGA.

a b c (Å): 2.7284 16.3136 5.0936
angles (deg): 90.00 90.00 90.00
Element x y z (fractional)
Mg (0.0000, 0.1378, 0.2500)
Mg (0.0000, 0.8622, 0.7500)
Mg (0.5000, 0.3622, 0.7500)
Mg (0.5000, 0.6378, 0.2500)
Zr (0.0000, 0.0539, 0.7500)
Zr (0.0000, 0.9461, 0.2500)
Zr (0.5000, 0.4461, 0.2500)
Zr (0.5000, 0.5539, 0.7500)
Tc (0.0000, 0.2161, 0.7500)
Tc (0.0000, 0.7839, 0.2500)
Tc (0.5000, 0.2839, 0.2500)
Tc (0.5000, 0.7161, 0.7500)

Output
Calculated total energy   -6.386 eV/atom
Relative energy among the computed polymorphs   0 meV/atom
Size of the total moment   0.03 μB/cell
Space group   Cmcm